1.
VASP calculation (PBE) on a relaxed structure of Sm4GeSbTe2.

Cell: 7.6457 4.3973 7.6805 Å, 90.00 109.21 90.00°
Atoms (fractional coordinates):
Sm 0.2320 0.0000 0.2273
Sm 0.2435 0.5000 0.7674
Sm 0.7565 0.5000 0.2326
Sm 0.7680 0.0000 0.7727
Ge 0.0000 0.5000 0.0000
Sb 0.5000 0.0000 0.0000
Te 0.0000 0.0000 0.5000
Te 0.5000 0.5000 0.5000

## Properties
space-group type = P2/m (10)
ΔE_f (raw) = -1285.6 meV/atom
crystal system = monoclinic

2.
VASP calculation (PBE) on a relaxed structure of ScZnGeOs.

Cell: 4.4406 4.4406 4.4406 Å, 60.00 60.00 60.00°
Atoms (fractional coordinates):
Sc 0.0000 0.0000 0.0000
Zn 0.7500 0.7500 0.7500
Ge 0.2500 0.2500 0.2500
Os 0.5000 0.5000 0.5000

## Properties
space-group type = F-43m (216)
energy relative to the elements = -0.28 eV/atom
crystal system = cubic

3.
VASP calculation (PBE) on a relaxed structure of TlP.

Cell: 5.7003 5.7003 8.1975 Å, 90.00 90.00 120.00°
Atoms (fractional coordinates):
Tl 0.0000 0.0000 0.2500
Tl 0.0000 0.0000 0.7500
Tl 0.3333 0.6667 0.2500
Tl 0.6667 0.3333 0.7500
P 0.3333 0.6667 0.6239
P 0.3333 0.6667 0.8761
P 0.6667 0.3333 0.1239
P 0.6667 0.3333 0.3761

## Properties
space-group type = P6_3/mmc (194)
energy relative to the elements = 0.41 eV/atom
crystal system = hexagonal

4.
VASP calculation (PBE) on a relaxed structure of Li3Dy2NpTe6.

Cell: 7.5556 7.5556 7.4891 Å, 99.65 99.65 119.89°
Atoms (fractional coordinates):
Li 0.0000 0.0000 0.0000
Li 0.3322 0.6678 0.0000
Li 0.6678 0.3322 0.0000
Dy 0.1660 0.8340 0.5000
Dy 0.8340 0.1660 0.5000
Np 0.5000 0.5000 0.5000
Te 0.0769 0.4143 0.2435
Te 0.2481 0.2481 0.7573
Te 0.4143 0.0769 0.2435
Te 0.5857 0.9231 0.7565
Te 0.7519 0.7519 0.2427
Te 0.9231 0.5857 0.7565

## Properties
space-group type = C2/m (12)
ΔE_f (raw) = -1115.5 meV/atom
crystal system = monoclinic

5.
VASP calculation (PBE) on a relaxed structure of BaSi2Br.

Cell: 4.2054 4.2054 6.4799 Å, 90.00 90.00 95.45°
Atoms (fractional coordinates):
Ba 0.0000 0.0000 0.0000
Si 0.5000 0.5000 0.3203
Si 0.5000 0.5000 0.6797
Br 0.0000 0.0000 0.5000

## Properties
space-group type = Cmmm (65)
ΔE_f (raw) = 146.8 meV/atom
crystal system = orthorhombic
energy above the lowest structure with this stoichiometry = 16.956 kcal/mol of atoms

6.
VASP calculation (PBE) on a relaxed structure of HfB2Os2.

Cell: 6.4816 6.4816 2.8588 Å, 90.00 90.00 90.00°
Atoms (fractional coordinates):
Hf 0.0000 0.0000 0.0000
Hf 0.5000 0.5000 0.0000
B 0.1354 0.3646 0.0000
B 0.3646 0.8646 0.0000
B 0.6354 0.1354 0.0000
B 0.8646 0.6354 0.0000
Os 0.1492 0.6492 0.5000
Os 0.3508 0.1492 0.5000
Os 0.6492 0.8508 0.5000
Os 0.8508 0.3508 0.5000

## Properties
space-group type = P4/mbm (127)
energy relative to the elements = -0.13 eV/atom
crystal system = tetragonal

| no. | total magnetic moment (μB/f.u.) | E (eV per atom) | DOS at the Fermi energy (states/eV/f.u.) |
| --- | --- | --- | --- |
| 1 | 0.00 | -5.523 | 1.620 |
| 2 | 0.00 | -6.139 | 2.401 |
| 3 | 0.00 | -3.480 | 1.749 |
| 4 | 4.00 | -5.010 | 6.107 |
| 5 | 0.00 | -3.464 | 3.219 |
| 6 | 0.00 | -9.283 | 2.793 |